This record from the Alexandria database describes BaTcP2 at its PBEsol-relaxed geometry. The functional is meta-GGA SCAN.

a b c (Å): 4.259 4.259 6.156
angles (deg): 99.71 99.71 53.88
Positions (direct):
Ba (0.000, 0.000, 0.000)
Tc (0.288, 0.288, 0.535)
P (0.601, 0.601, 0.627)
P (0.746, 0.746, 0.334)

Values from the calculation:
Total moment: 0.0 μB per cell
E_form: -2.1 eV/f.u.
Crystal system: monoclinic
Space-group type: Cm, No. 8
Polymorph energy (0 for the lowest one): 0.0 kJ/mol of formula units

---

This record from the Alexandria database describes Ba2TcP at its PBEsol-relaxed geometry. The functional is meta-GGA SCAN.

a b c (Å): 5.583 5.583 3.485
angles (deg): 90.00 90.00 106.06
Positions (direct):
Ba (0.000, 0.500, 0.000)
Ba (0.500, 0.000, 0.000)
Tc (0.000, 0.000, 0.500)
P (0.500, 0.500, 0.500)

Values from the calculation:
Total moment: 2.3 μB per cell
E_form: 1.6 eV/f.u.
Crystal system: orthorhombic
Space-group type: Cmmm, No. 65

---

This record from the Alexandria database describes BaTcP at its PBEsol-relaxed geometry. The functional is meta-GGA SCAN.

a b c (Å): 3.990 3.990 5.109
angles (deg): 90.00 90.00 120.00
Positions (direct):
Ba (0.000, 0.000, 0.000)
Tc (0.667, 0.333, 0.500)
P (0.333, 0.667, 0.500)

Values from the calculation:
Total moment: 0.0 μB per cell
E_form: -1.3 eV/f.u.
Crystal system: hexagonal
Space-group type: P-6m2, No. 187

---

What is the E_form in the third record? -1.3 eV/f.u.

---

Which of these has the highest E_form? Ba2TcP

---

Which value of E_form does entry 2 give? 1.6 eV/f.u.

---

Which of these has the lowest E_form? BaTcP2